No. 1
# Ba2SrBr | Alexandria via LeMat-Bulk | PBE | relaxed
data_Ba2SrBr
_cell_length_a 4.362
_cell_length_b 7.582
_cell_length_c 13.218
_cell_angle_alpha 90.00
_cell_angle_beta 90.00
_cell_angle_gamma 90.00
_space_group_name_H-M_alt 'I m m m'
_space_group_IT_number 71
_space_group_name_Hall '-I 2 2'
loop_
_atom_site_label
_atom_site_fract_x
_atom_site_fract_y
_atom_site_fract_z
Ba1 0.000 0.000 0.195
Sr1 0.000 0.500 0.000
Br1 0.000 0.500 0.500
# **Mass density**: 3.360 g/cm3
# **Formation energy (no corrections)**: -2.51 eV per formula unit
# **Energy above the lowest structure with this stoichiometry**: 0.493 eV/f.u.
# **Uncorrected energy**: -2.427 eV per atom

---

No. 2
# Na3Tl7Cd2 | Alexandria via LeMat-Bulk | PBE | relaxed
data_Na3Tl7Cd2
_cell_length_a 5.554
_cell_length_b 3.559
_cell_length_c 17.954
_cell_angle_alpha 90.00
_cell_angle_beta 98.81
_cell_angle_gamma 90.00
_space_group_name_H-M_alt 'P 1 2/m 1'
_space_group_IT_number 10
_space_group_name_Hall '-P 2y'
loop_
_atom_site_label
_atom_site_fract_x
_atom_site_fract_y
_atom_site_fract_z
Na1 0.000 0.000 0.000
Na2 0.308 0.500 0.632
Tl1 0.089 0.500 0.145
Tl2 0.231 0.000 0.459
Tl3 0.388 0.000 0.808
Tl4 0.500 0.500 0.000
Cd1 0.161 0.000 0.294
# **Mass density**: 8.166 g/cm3
# **Energy above the lowest structure with this stoichiometry**: 0.266 eV/f.u.
# **Uncorrected energy**: -1.899 eV per atom

---

No. 3
# IrSeF2 | Alexandria via LeMat-Bulk | PBE | relaxed
data_IrSeF2
_cell_length_a 5.990
_cell_length_b 5.990
_cell_length_c 5.990
_cell_angle_alpha 90.00
_cell_angle_beta 90.00
_cell_angle_gamma 90.00
_space_group_name_H-M_alt 'F m -3 m'
_space_group_IT_number 225
_space_group_name_Hall '-F 4 2 3'
loop_
_atom_site_label
_atom_site_fract_x
_atom_site_fract_y
_atom_site_fract_z
Ir1 0.000 0.000 0.000
Se1 0.000 0.000 0.500
F1 0.250 0.250 0.250
# **Mass density**: 9.554 g/cm3
# **Formation energy (no corrections)**: 1.45 eV per formula unit
# **Energy above the lowest structure with this stoichiometry**: 3.825 eV/f.u.
# **Uncorrected energy**: -3.660 eV per atom

---

No. 4
# Li2CdCl4 | Alexandria via LeMat-Bulk | PBE | relaxed
data_Li2CdCl4
_cell_length_a 5.622
_cell_length_b 5.622
_cell_length_c 5.692
_cell_angle_alpha 90.00
_cell_angle_beta 90.00
_cell_angle_gamma 90.00
_space_group_name_H-M_alt 'P -4 2 m'
_space_group_IT_number 111
_space_group_name_Hall 'P -4 2'
loop_
_atom_site_label
_atom_site_fract_x
_atom_site_fract_y
_atom_site_fract_z
Li1 0.000 0.500 0.000
Cd1 0.000 0.000 0.500
Cl1 0.253 0.253 0.764
# **Mass density**: 2.475 g/cm3
# **Formation energy (no corrections)**: -10.41 eV per formula unit
# **Energy above the lowest structure with this stoichiometry**: 0.102 eV/f.u.
# **Uncorrected energy**: -3.219 eV per atom

---

No. 5
# Mg2SnSb | Alexandria via LeMat-Bulk | PBE | relaxed
data_Mg2SnSb
_cell_length_a 7.312
_cell_length_b 7.312
_cell_length_c 7.312
_cell_angle_alpha 90.00
_cell_angle_beta 90.00
_cell_angle_gamma 90.00
_space_group_name_H-M_alt 'F m -3 m'
_space_group_IT_number 225
_space_group_name_Hall '-F 4 2 3'
loop_
_atom_site_label
_atom_site_fract_x
_atom_site_fract_y
_atom_site_fract_z
Mg1 0.250 0.250 0.250
Sn1 0.000 0.000 0.000
Sb1 0.000 0.000 0.500
# **Mass density**: 4.911 g/cm3
# **Formation energy (no corrections)**: -0.36 eV per formula unit
# **Energy above the lowest structure with this stoichiometry**: 0.297 eV/f.u.
# **Uncorrected energy**: -2.919 eV per atom

---

No. 6
# Cd2In8Hg3 | Alexandria via LeMat-Bulk | PBE | relaxed
data_Cd2In8Hg3
_cell_length_a 12.527
_cell_length_b 8.365
_cell_length_c 7.059
_cell_angle_alpha 90.00
_cell_angle_beta 103.11
_cell_angle_gamma 90.00
_space_group_name_H-M_alt 'C 1 2/m 1'
_space_group_IT_number 12
_space_group_name_Hall '-C 2y'
loop_
_atom_site_label
_atom_site_fract_x
_atom_site_fract_y
_atom_site_fract_z
Cd1 0.192 0.000 0.223
In1 0.074 0.500 0.826
In2 0.126 0.305 0.448
In3 0.221 0.000 0.794
Hg1 0.000 0.000 0.500
Hg2 0.000 0.194 0.000
# **Mass density**: 8.044 g/cm3
# **Energy above the lowest structure with this stoichiometry**: 0.214 eV/f.u.
# **Uncorrected energy**: -1.839 eV per atom

---

No. 7
# HoU2PaN4 | Alexandria via LeMat-Bulk | PBE | relaxed
data_HoU2PaN4
_cell_length_a 5.986
_cell_length_b 3.447
_cell_length_c 5.989
_cell_angle_alpha 90.00
_cell_angle_beta 109.37
_cell_angle_gamma 90.00
_space_group_name_H-M_alt 'P 1 2/m 1'
_space_group_IT_number 10
_space_group_name_Hall '-P 2y'
loop_
_atom_site_label
_atom_site_fract_x
_atom_site_fract_y
_atom_site_fract_z
Ho1 0.000 0.000 0.000
U1 0.500 0.000 0.500
U2 0.500 0.500 0.000
Pa1 0.000 0.500 0.500
N1 0.253 0.000 0.756
N2 0.257 0.500 0.251
# **Mass density**: 13.222 g/cm3
# **Formation energy (no corrections)**: -11.83 eV per formula unit
# **Uncorrected energy**: -10.223 eV per atom

---

No. 8
# Sc4BeAg3 | Alexandria via LeMat-Bulk | PBE | relaxed
data_Sc4BeAg3
_cell_length_a 3.365
_cell_length_b 3.365
_cell_length_c 13.552
_cell_angle_alpha 90.00
_cell_angle_beta 90.00
_cell_angle_gamma 90.00
_space_group_name_H-M_alt 'P 4/m m m'
_space_group_IT_number 123
_space_group_name_Hall '-P 4 2'
loop_
_atom_site_label
_atom_site_fract_x
_atom_site_fract_y
_atom_site_fract_z
Sc1 0.000 0.000 0.110
Sc2 0.000 0.000 0.370
Be1 0.500 0.500 0.000
Ag1 0.500 0.500 0.239
Ag2 0.500 0.500 0.500
# **Mass density**: 5.544 g/cm3
# **Uncorrected energy**: -4.909 eV per atom

---

No. 9
# Sr2YCo | Alexandria via LeMat-Bulk | PBE | relaxed
data_Sr2YCo
_cell_length_a 4.832
_cell_length_b 4.832
_cell_length_c 5.376
_cell_angle_alpha 90.00
_cell_angle_beta 90.00
_cell_angle_gamma 90.00
_space_group_name_H-M_alt 'P 4/m m m'
_space_group_IT_number 123
_space_group_name_Hall '-P 4 2'
loop_
_atom_site_label
_atom_site_fract_x
_atom_site_fract_y
_atom_site_fract_z
Sr1 0.000 0.500 0.000
Y1 0.000 0.000 0.500
Co1 0.500 0.500 0.500
# **Mass density**: 4.274 g/cm3
# **Energy above the lowest structure with this stoichiometry**: 1.902 eV/f.u.
# **Uncorrected energy**: -3.632 eV per atom

---

No. 10
# Pr5In2HgIr2 | Alexandria via LeMat-Bulk | PBE | relaxed
data_Pr5In2HgIr2
_cell_length_a 12.214
_cell_length_b 12.214
_cell_length_c 3.862
_cell_angle_alpha 90.00
_cell_angle_beta 90.00
_cell_angle_gamma 90.00
_space_group_name_H-M_alt 'P 4/m b m'
_space_group_IT_number 127
_space_group_name_Hall '-P 4 2ab'
loop_
_atom_site_label
_atom_site_fract_x
_atom_site_fract_y
_atom_site_fract_z
Pr1 0.000 0.500 0.000
Pr2 0.074 0.206 0.000
In1 0.178 0.678 0.500
Hg1 0.000 0.000 0.500
Ir1 0.133 0.367 0.500
# **Mass density**: 8.756 g/cm3
# **Uncorrected energy**: -5.225 eV per atom